# 1
SrYCu: PBEsol geometry, meta-GGA SCAN.

Values from the calculation:
The magnetization is 0.0 μB per formula unit. For the energy above the most stable polymorph in this dataset, the calculation gives 294.9 kJ/mol of formula units. For the density of states at the Fermi level, the calculation gives 1.064 states/eV per atom. The energy of formation comes out at 0.98 eV/atom.

a b c (Å): 4.885 4.885 4.885
angles (deg): 60.00 60.00 60.00
Atoms (fractional coordinates):
Sr  0.250  0.250  0.250
Y  0.000  0.000  0.000
Cu  0.500  0.500  0.500

# 2
AgCF2: PBEsol geometry, meta-GGA SCAN.

Values from the calculation:
The magnetization is 0.9 μB per formula unit. Its formation energy (no corrections) is 636 meV per atom. For the density of states at the Fermi level, the calculation gives 0.267 states/eV per atom.

a b c (Å): 3.481 3.481 7.635
angles (deg): 103.18 103.18 90.00
Site moments in Bohr magnetons follow the coordinates.
Atoms (fractional coordinates):
F  0.394  0.875  0.250  0.04
F  0.856  0.375  0.250  0.04
F  0.625  0.606  0.750  0.04
F  0.125  0.144  0.750  0.04
Ag  0.250  0.750  0.500  0.10
Ag  0.000  0.000  0.000  0.10
C  0.750  0.250  0.500  0.39
C  0.500  0.500  0.000  0.39

# 3
CrAu2Cl: PBEsol geometry, meta-GGA SCAN.

Values from the calculation:
The magnetization is 4.5 μB per formula unit. For the energy above the most stable polymorph in this dataset, the calculation gives 227.6 kJ/mol of formula units. Its formation energy (no corrections) is 309 meV per atom. For the density of states at the Fermi level, the calculation gives 0.799 states/eV per atom.

a b c (Å): 4.626 4.626 4.626
angles (deg): 60.00 60.00 60.00
Site moments in Bohr magnetons follow the coordinates.
Atoms (fractional coordinates):
Au  0.250  0.250  0.250  0.04
Au  0.750  0.750  0.750  0.04
Cr  0.500  0.500  0.500  3.90
Cl  0.000  0.000  0.000  0.12

# 4
Ca3Ge13Ir4: PBEsol geometry, meta-GGA SCAN.

Values from the calculation:
The magnetization is 0.0 μB per formula unit. For the density of states at the Fermi level, the calculation gives 0.334 states/eV per atom. The energy of formation comes out at -0.52 eV/atom.

a b c (Å): 8.984 8.984 8.984
angles (deg): 90.00 90.00 90.00
Atoms (fractional coordinates):
Ge  0.356  0.500  0.799
Ge  0.500  0.799  0.644
Ge  0.201  0.356  0.500
Ge  0.144  0.701  0.000
Ge  0.356  0.500  0.201
Ge  0.000  0.856  0.299
Ge  0.500  0.201  0.644
Ge  0.500  0.201  0.356
Ge  0.000  0.000  0.000
Ge  0.500  0.500  0.500
Ge  0.000  0.856  0.701
Ge  0.701  0.000  0.144
Ge  0.201  0.644  0.500
Ge  0.299  0.000  0.856
Ge  0.144  0.299  0.000
Ge  0.856  0.701  0.000
Ge  0.000  0.144  0.701
Ge  0.799  0.644  0.500
Ge  0.644  0.500  0.201
Ge  0.701  0.000  0.856
Ge  0.000  0.144  0.299
Ge  0.799  0.356  0.500
Ge  0.644  0.500  0.799
Ge  0.856  0.299  0.000
Ge  0.500  0.799  0.356
Ge  0.299  0.000  0.144
Ca  0.500  0.250  0.000
Ca  0.250  0.000  0.500
Ca  0.000  0.500  0.750
Ca  0.750  0.000  0.500
Ca  0.500  0.750  0.000
Ca  0.000  0.500  0.250
Ir  0.250  0.250  0.750
Ir  0.250  0.750  0.250
Ir  0.750  0.250  0.250
Ir  0.250  0.250  0.250
Ir  0.250  0.750  0.750
Ir  0.750  0.750  0.250
Ir  0.750  0.250  0.750
Ir  0.750  0.750  0.750

# 5
MnCo2Ru: PBEsol geometry, meta-GGA SCAN.

Values from the calculation:
The magnetization is 2.3 μB per formula unit. For the energy above the most stable polymorph in this dataset, the calculation gives 93.0 kJ/mol of formula units. For the density of states at the Fermi level, the calculation gives 1.171 states/eV per atom. The energy of formation comes out at 0.26 eV/atom.

a b c (Å): 2.491 2.491 7.047
angles (deg): 90.00 90.00 90.00
Site moments in Bohr magnetons follow the coordinates.
Atoms (fractional coordinates):
Ru  0.500  0.500  0.500  0.19
Co  0.000  0.000  0.761  -0.07
Co  0.000  0.000  0.239  -0.07
Mn  0.500  0.500  0.000  2.20

# 6
Ag5Pb: PBEsol geometry, meta-GGA SCAN.

Values from the calculation:
The magnetization is 0.0 μB per formula unit. For the energy above the most stable polymorph in this dataset, the calculation gives 5.1 kJ/mol of formula units. For the density of states at the Fermi level, the calculation gives 0.242 states/eV per atom. The energy of formation comes out at 0.08 eV/atom.

a b c (Å): 4.259 4.217 6.434
angles (deg): 70.87 90.00 90.00
Atoms (fractional coordinates):
Ag  0.500  0.327  0.347
Ag  0.500  0.673  0.653
Ag  0.000  0.829  0.343
Ag  0.000  0.171  0.657
Ag  0.500  0.000  0.000
Pb  0.000  0.500  0.000

# 7
ZrTl2Ag: PBEsol geometry, meta-GGA SCAN.

Values from the calculation:
The magnetization is 0.0 μB per formula unit. For the density of states at the Fermi level, the calculation gives 0.327 states/eV per atom. The energy of formation comes out at -0.09 eV/atom.

a b c (Å): 4.224 4.457 4.457
angles (deg): 90.00 90.00 90.00
Atoms (fractional coordinates):
Tl  0.000  0.500  0.000
Tl  0.000  0.000  0.500
Ag  0.500  0.000  0.000
Zr  0.500  0.500  0.500

# 8
Sr2MgAs: PBEsol geometry, meta-GGA SCAN.

Values from the calculation:
The magnetization is 0.1 μB per formula unit. For the energy above the most stable polymorph in this dataset, the calculation gives 0.0 kJ/mol of formula units. For the density of states at the Fermi level, the calculation gives 0.733 states/eV per atom. The energy of formation comes out at -0.46 eV/atom.

a b c (Å): 5.535 5.525 5.535
angles (deg): 59.94 90.00 120.06
Atoms (fractional coordinates):
Sr  0.750  0.500  0.750
Sr  0.250  0.500  0.250
As  0.000  0.000  0.000
Mg  0.500  0.000  0.500

# 9
Zn2InTc: PBEsol geometry, meta-GGA SCAN.

Values from the calculation:
The magnetization is 0.0 μB per formula unit. For the density of states at the Fermi level, the calculation gives 0.401 states/eV per atom. The energy of formation comes out at 0.20 eV/atom.

a b c (Å): 2.762 4.241 5.426
angles (deg): 90.00 102.90 90.00
Atoms (fractional coordinates):
Tc  0.583  0.500  0.781
Zn  0.304  0.500  0.235
Zn  0.160  0.000  0.987
In  0.953  0.000  0.497

# 10
TaRuPb: PBEsol geometry, meta-GGA SCAN.

Values from the calculation:
The magnetization is 0.0 μB per formula unit. For the density of states at the Fermi level, the calculation gives 1.030 states/eV per atom. The energy of formation comes out at 0.19 eV/atom.

a b c (Å): 3.116 3.116 6.160
angles (deg): 104.65 104.65 90.00
Atoms (fractional coordinates):
Ru  0.687  0.687  0.373
Pb  0.006  0.006  0.011
Ta  0.308  0.308  0.615

# 11
CaZrOs2: PBEsol geometry, meta-GGA SCAN.

Values from the calculation:
The magnetization is 0.0 μB per formula unit. For the density of states at the Fermi level, the calculation gives 0.975 states/eV per atom. The energy of formation comes out at 0.21 eV/atom.

a b c (Å): 2.871 3.739 7.760
angles (deg): 90.00 90.00 90.00
Atoms (fractional coordinates):
Os  0.500  0.500  0.202
Os  0.000  0.000  0.077
Zr  0.000  0.000  0.426
Ca  0.500  0.500  0.795

# 12
CdSnP2: PBEsol geometry, meta-GGA SCAN.

Values from the calculation:
The magnetization is 0.0 μB per formula unit. The energy of formation comes out at -0.12 eV/atom.

a b c (Å): 5.886 5.886 7.116
angles (deg): 114.43 114.43 90.00
Atoms (fractional coordinates):
Cd  0.500  0.500  0.000
Cd  0.750  0.250  0.500
P  0.370  0.875  0.250
P  0.625  0.630  0.750
P  0.125  0.120  0.750
P  0.880  0.375  0.250
Sn  0.000  0.000  0.000
Sn  0.250  0.750  0.500

# 13
NbIn2SbRh: PBEsol geometry, meta-GGA SCAN.

Values from the calculation:
The magnetization is 1.8 μB per formula unit. Its formation energy (no corrections) is 1017 meV per atom. For the density of states at the Fermi level, the calculation gives 0.806 states/eV per atom.

a b c (Å): 5.148 5.232 5.232
angles (deg): 90.00 90.00 90.00
Site moments in Bohr magnetons follow the coordinates.
Atoms (fractional coordinates):
In  0.000  0.000  0.500  0.02
In  0.000  0.500  0.000  0.02
Rh  0.500  0.500  0.500  1.33
Sb  0.500  0.000  0.000  0.00
Nb  0.000  0.000  0.000  0.38